No. 1
Entry from Alexandria: Sr3ScTa after structural relaxation (PBE).

Unit cell a=5.952 b=5.952 c=5.952 alpha=90.00 beta=90.00 gamma=90.00
Element x y z (fractional)
Sr 0.000 0.000 0.500
Sr 0.000 0.500 0.000
Sr 0.500 0.000 0.000
Sc 0.500 0.500 0.500
Ta 0.000 0.000 0.000

Calculated values
**Electronic total energy**: -3.44 eV per atom
**DFT formation energy**: 1.208 eV per atom
**Crystal system**: cubic
**Space-group type**: Pm-3m
**Density**: 3.849 Mg/m³

No. 2
Entry from Alexandria: NaPr4 after structural relaxation (PBE).

Unit cell a=5.780 b=5.780 c=5.780 alpha=90.00 beta=90.00 gamma=90.00
Element x y z (fractional)
Na 0.000 0.000 0.000
Pr 0.000 0.000 0.500
Pr 0.000 0.500 0.000
Pr 0.500 0.000 0.000
Pr 0.500 0.500 0.500

Calculated values
**Electronic total energy**: -3.43 eV per atom
**DFT formation energy**: 0.654 eV per atom
**Crystal system**: cubic
**Space-group type**: Pm-3m
**Density**: 5.044 Mg/m³

No. 3
Entry from Alexandria: VCo after structural relaxation (PBE).

Unit cell a=3.378 b=3.378 c=3.378 alpha=136.32 beta=99.57 gamma=96.35
Element x y z (fractional)
V 0.000 0.000 0.000
Co 0.500 0.500 0.000

Calculated values
**Electronic total energy**: -7.88 eV per atom
**DFT formation energy**: 0.229 eV per atom
**Crystal system**: orthorhombic
**Space-group type**: Immm
**Density**: 7.390 Mg/m³

No. 4
Entry from Alexandria: LiBiAs after structural relaxation (PBE).

Unit cell a=5.522 b=5.522 c=5.522 alpha=140.74 beta=140.74 gamma=56.73
Element x y z (fractional)
Li 0.000 0.000 0.000
Bi 0.697 0.697 0.000
As 0.370 0.370 0.000

Calculated values
**Electronic total energy**: -3.58 eV per atom
**DFT formation energy**: -0.094 eV per atom
**Crystal system**: tetragonal
**Space-group type**: I4mm
**Density**: 7.221 Mg/m³

No. 5
Entry from Alexandria: Ta4MoPb after structural relaxation (PBE).

Unit cell a=5.483 b=5.483 c=5.483 alpha=60.00 beta=60.00 gamma=60.00
Element x y z (fractional)
Ta 0.124 0.124 0.124
Ta 0.124 0.124 0.627
Ta 0.124 0.627 0.124
Ta 0.627 0.124 0.124
Mo 0.750 0.750 0.750
Pb 0.500 0.500 0.500

Calculated values
**Electronic total energy**: -9.81 eV per atom
**DFT formation energy**: 0.516 eV per atom
**Crystal system**: cubic
**Space-group type**: F-43m
**Density**: 14.633 Mg/m³

No. 6
Entry from Alexandria: LaTm2In2Hg2 after structural relaxation (PBE).

Unit cell a=9.412 b=9.412 c=9.412 alpha=30.60 beta=30.60 gamma=30.60
Element x y z (fractional)
La 0.000 0.000 0.000
Tm 0.134 0.134 0.134
Tm 0.866 0.866 0.866
In 0.263 0.263 0.263
In 0.737 0.737 0.737
Hg 0.435 0.435 0.435
Hg 0.565 0.565 0.565

Calculated values
**Electronic total energy**: -3.17 eV per atom
**DFT formation energy**: -0.323 eV per atom
**Crystal system**: trigonal
**Space-group type**: R-3m
**Density**: 9.602 Mg/m³